Computed, not measured: a geometry-optimized GaAsS structure at the PBE-GGA level of DFT.

Computed properties:
Crystal system ... monoclinic

abc: 13.0057 3.6497 7.2763
angles: 90.00 109.53 90.00
Closest atoms and distances in Å follow each position.
Space group C2/m (No. 12)
One atom of each set of equivalent atoms:
Ga (0.1957, 0.0000, 0.1210) x4  3 S 2.36-2.41, 1 As 2.45
As (0.1793, 0.0000, 0.4473) x4  1 Ga 2.45, 2 As 2.52
S (0.1260, 0.5000, 0.9109) x4  3 Ga 2.36-2.41

***

Computed, not measured: a geometry-optimized GaAs2S structure at the PBE-GGA level of DFT.

Computed properties:
Crystal system ... cubic

abc: 6.6478 6.6478 6.6478
angles: 90.00 90.00 90.00
Closest atoms and distances in Å follow each position.
Space group Fm-3m (No. 225)
One atom of each set of equivalent atoms:
Ga (0.0000, 0.0000, 0.0000) x4  8 As 2.88
As (0.2500, 0.2500, 0.2500) x8  4 Ga 2.88, 4 S 2.88
S (0.0000, 0.0000, 0.5000) x4  8 As 2.88

***

Computed, not measured: a geometry-optimized GaAsS3 structure at the PBE-GGA level of DFT.

Computed properties:
Crystal system ... cubic

abc: 4.7886 4.7886 4.7886
angles: 90.00 90.00 90.00
Closest atoms and distances in Å follow each position.
Space group Pm-3m (No. 221)
One atom of each set of equivalent atoms:
Ga (0.0000, 0.0000, 0.0000) x1  12 S 3.39
As (0.5000, 0.5000, 0.5000) x1  6 S 2.39
S (0.0000, 0.5000, 0.5000) x3  2 As 2.39

***

Computed, not measured: a geometry-optimized GaAs2S structure at the PBE-GGA level of DFT.

Computed properties:
Crystal system ... tetragonal

abc: 5.3652 5.3652 13.5175
angles: 90.00 90.00 90.00
Closest atoms and distances in Å follow each position.
Space group I-42d (No. 122)
One atom of each set of equivalent atoms:
Ga (0.0000, 0.0000, 0.0000) x4  4 As 2.58
As (0.2361, 0.2500, 0.6250) x8  2 S 2.50, 2 Ga 2.58
S (0.0000, 0.0000, 0.5000) x4  4 As 2.50

***

Computed, not measured: a geometry-optimized GaAs2S3 structure at the PBE-GGA level of DFT.

Computed properties:
Crystal system ... orthorhombic

abc: 14.5074 8.8011 5.4646
angles: 90.00 90.00 90.00
Closest atoms and distances in Å follow each position.
Space group Cmcm (No. 63)
One atom of each set of equivalent atoms:
Ga (0.0000, 0.1803, 0.2500) x4  4 S 2.70-2.80
As (0.1441, 0.3644, 0.7500) x8  2 S 2.28-2.32
S (0.0000, 0.2502, 0.7500) x4  2 As 2.32
S (0.1437, 0.3761, 0.2500) x8  1 As 2.28

***

Computed, not measured: a geometry-optimized Ga12As3S5 structure at the PBE-GGA level of DFT.

Computed properties:
Crystal system ... cubic

abc: 15.6699 15.6699 15.6699
angles: 90.00 90.00 90.00
Closest atoms and distances in Å follow each position.
Space group Ia-3d (No. 230)
One atom of each set of equivalent atoms:
Ga (0.0129, 0.0683, 0.6565) x96  2 S 2.53-2.68, 1 As 2.82
As (0.0000, 0.2500, 0.1250) x24  8 Ga 2.82-2.90
S (0.0000, 0.0000, 0.0000) x16  6 Ga 2.68
S (0.0000, 0.2500, 0.3750) x24  4 Ga 2.53

***

Number 1: spin magnetization 0.00 Bohr magnetons per cell, E -4.3696 eV/atom, ΔE_f (raw) -0.435 eV per atom. Number 2: spin magnetization 0.00 Bohr magnetons per cell, E -3.6816 eV/atom, ΔE_f (raw) 0.432 eV per atom. Number 3: spin magnetization 0.00 Bohr magnetons per cell, E -3.6435 eV/atom, ΔE_f (raw) 0.368 eV per atom. Number 4: spin magnetization 0.00 Bohr magnetons per cell, E -3.9051 eV/atom, ΔE_f (raw) 0.208 eV per atom. Number 5: spin magnetization 0.00 Bohr magnetons per cell, E -4.0998 eV/atom, ΔE_f (raw) 0.018 eV per atom. Number 6: spin magnetization 0.00 Bohr magnetons per cell, E -3.6051 eV/atom, ΔE_f (raw) -0.060 eV per atom.